WN2O2F4 | GGA+U | relaxed Values from VASP.

```
&SYSTEM
  ibrav = 0, nat = 18, ntyp = 4
/
ATOMIC_SPECIES
W 183.84 W.upf
N 14.01 N.upf
O 16.00 O.upf
F 19.00 F.upf
CELL_PARAMETERS angstrom
5.6458 0.0000 0.0000
0.0000 8.0235 0.0000
-2.4727 0.0000 7.8962
ATOMIC_POSITIONS crystal
W 0.0431 0.0000 0.2415
W 0.9569 0.5000 0.7585
N 0.1108 0.4826 0.4723
N 0.4934 0.5014 0.1984
N 0.5066 0.0014 0.8016
N 0.8892 0.9826 0.5277
O 0.0337 0.9539 0.0131
O 0.2353 0.0744 0.1008
O 0.7647 0.5744 0.8992
O 0.9663 0.4539 0.9869
F 0.1925 0.6725 0.7869
F 0.2320 0.3511 0.7966
F 0.2359 0.8217 0.3602
F 0.2533 0.1387 0.4133
F 0.7467 0.6387 0.5867
F 0.7641 0.3217 0.6398
F 0.7680 0.8511 0.2034
F 0.8075 0.1725 0.2131
```

Output
Calculated volume ... 19.9 Å³/atom
Density ... 3.0 Mg/m³
Fermi-level density of states ... 0.00 states/eV per cell
Space-group type ... No. 4
Magnetic moment ... 5.965 μB/f.u.
Total energy ... -4.927 eV per atom